(1)
Entry from the Alexandria database: a geometry-optimized TiCo2As structure (PBE-GGA).

Output
Formation enthalpy at 0 K ... -0.09 eV/atom
Calculated volume ... 112 Å³ per cell

Cell lengths 3.7354, 3.7354, 8.4557 Å; angles 77.24, 77.24, 90.00 degrees
Element x y z (fractional)
As  0.0000  0.0000  0.0000
Ti  0.2500  0.7500  0.5000
Co  0.1007  0.6250  0.2500
Co  0.8750  0.8993  0.7500
Co  0.3750  0.3507  0.7500
Co  0.6493  0.1250  0.2500
Ti  0.5000  0.5000  0.0000
As  0.7500  0.2500  0.5000

(2)
Entry from the Alexandria database: a geometry-optimized ReS2NCl structure (PBE-GGA).

Output
Calculated volume ... 67 Å³ per cell
E above lowest polymorph ... 1.229 eV per atom

Cell lengths 4.1203, 4.1203, 3.9704 Å; angles 90.00, 90.00, 90.00 degrees
Element x y z (fractional)
S  0.5000  0.0000  0.0000
Cl  0.0000  0.0000  0.5000
N  0.0000  0.0000  0.0000
S  0.0000  0.5000  0.0000
Re  0.5000  0.5000  0.5000

(3)
Entry from the Alexandria database: a geometry-optimized Pm3Sm4Tm2 structure (PBE-GGA).

Output
Formation enthalpy at 0 K ... 0.02 eV/atom
Calculated volume ... 298 Å³ per cell
E above lowest polymorph ... 0.000 eV per atom

Cell lengths 5.0990, 8.0452, 8.0673 Å; angles 107.56, 108.42, 90.00 degrees
Element x y z (fractional)
Sm  0.5554  0.3314  0.1109
Pm  0.0000  0.0000  0.0000
Sm  0.7781  0.6697  0.5562
Tm  0.3321  0.0001  0.6643
Pm  0.8884  0.3324  0.7768
Sm  0.4446  0.6686  0.8891
Sm  0.2219  0.3303  0.4438
Pm  0.1116  0.6676  0.2232
Tm  0.6679  0.9999  0.3357

(4)
Entry from the Alexandria database: a geometry-optimized KIrOs structure (PBE-GGA).

Output
Formation enthalpy at 0 K ... 0.52 eV/atom
Calculated volume ... 139 Å³ per cell
E above lowest polymorph ... 0.052 eV per atom

Cell lengths 13.2992, 6.5392, 6.5392 Å; angles 140.27, 150.31, 29.69 degrees
Element x y z (fractional)
K  0.9341  0.5522  0.4478
Os  0.1223  0.0844  0.9156
Ir  0.9064  0.8428  0.1572
Os  0.4047  0.2943  0.7057
Ir  0.6226  0.6200  0.3800
K  0.4348  0.5248  0.4752